Record 1
This record from the Alexandria database describes an optimized crystal structure of HfZrP2Cl. The functional is PBE-GGA.

a = 5.004 Å, b = 5.004 Å, c = 4.674 Å
α = 90.00°, β = 90.00°, γ = 90.00°
Each line ends with the local moment (μB).
Sites, in units of the cell vectors:
1 P 0.000 0.500 0.000  -0.05
2 P 0.500 0.000 0.000  -0.05
3 Hf 0.000 0.000 0.000  0.01
4 Zr 0.500 0.500 0.500  0.84
5 Cl 0.000 0.000 0.500  0.00

Properties
Distance to the lowest polymorph of the same formula = 0 kJ/mol of formula units
Density of states at the Fermi level = 5.16 states/eV/f.u.
Symmetry = No. 123

***

Record 2
This record from the Alexandria database describes an optimized crystal structure of HfZr2PCl. The functional is PBE-GGA.

a = 4.983 Å, b = 4.842 Å, c = 4.983 Å
α = 90.00°, β = 90.00°, γ = 90.00°
Sites, in units of the cell vectors:
1 P 0.000 0.000 0.000
2 Hf 0.000 0.500 0.000
3 Zr 0.000 0.000 0.500
4 Zr 0.500 0.000 0.000
5 Cl 0.500 0.500 0.500

Properties
Density of states at the Fermi level = 7.97 states/eV/f.u.
Symmetry = No. 123

***

no.,uncorrected formation energy (eV/atom)
1,-0.100
2,0.081